{
  "formula": "ErTmGe2Ir",
  "functional": "GGA-PBE",
  "state": "relaxed",
  "dft_energy_ev_per_cell": -63.48,
  "cell": [[5.201, -2.137, 0.000], [5.201, 2.137, 0.000], [-4.585, 0.000, 9.126]],
  "species": ["Tm", "Er", "Ge", "Ir", "Ge", "Ir", "Ge", "Tm", "Er", "Ge"],
  "fractional_positions": [[0.992, 0.992, 0.670], [0.190, 0.190, 0.118], [0.354, 0.354, 0.447], [0.728, 0.728, 0.335], [0.646, 0.646, 0.553], [0.272, 0.272, 0.665], [0.522, 0.522, 0.885], [0.008, 0.008, 0.330], [0.810, 0.810, 0.882], [0.478, 0.478, 0.115]]
}